LiCa3W | PBE | optimized geometry

abc: 5.632 5.632 5.632
angles: 90.00 90.00 90.00
Positions (direct):
1 Ca 0.000 0.000 0.500
2 Ca 0.000 0.500 0.000
3 Ca 0.500 0.000 0.000
4 Li 0.500 0.500 0.500
5 W 0.000 0.000 0.000

## Properties
symmetry: Pm-3m (221)
size of the total moment: 0.0 μB per cell
energy above the most stable polymorph in this dataset: 0.0000 eV per atom
calculated formation energy: 930.0 meV per atom
density of states at the Fermi level: 3.96 states/eV/cell
mass density: 2.891 g cm⁻³